Computed, not measured: a geometry-optimized KTc2Rh structure at the PBE level of DFT.

## Properties
excess energy over the best structure of this formula in the dataset	198.0	meV/atom
E_form	761	meV/atom
SG	Pmmm, No. 47
magnetic moment	0.000	μB/atom

a = 2.7428 Å, b = 4.2583 Å, c = 7.4392 Å
α = 90.00°, β = 90.00°, γ = 90.00°
Element x y z (fractional)
K 0.0000 0.0000 0.0000
Tc 0.5000 0.5000 0.3528
Tc 0.5000 0.5000 0.6472
Rh 0.0000 0.0000 0.5000